(1)
Sr3SnN: optimized geometry, GGA-PBE.

CIF file:
```
data_Sr3SnN
_space_group_name_H-M_alt 'P n m a'
_space_group_IT_number 62
_cell_length_a 6.1162
_cell_length_b 16.5401
_cell_length_c 6.0787
_cell_angle_alpha 90.00
_cell_angle_beta 90.00
_cell_angle_gamma 90.00
loop_
_space_group_symop_operation_xyz
'x,y,z'
'-x,-y,-z'
'-x+1/2,-y,z+1/2'
'x+1/2,y,-z+1/2'
'x+1/2,-y+1/2,-z+1/2'
'-x+1/2,y+1/2,z+1/2'
'-x,y+1/2,-z'
'x,-y+1/2,z'
loop_
_atom_site_label
_atom_site_type_symbol
_atom_site_fract_x
_atom_site_fract_y
_atom_site_fract_z
Sr1 Sr 0.0017 0.1075 0.0039
Sr2 Sr 0.0182 0.7500 0.4586
Sn1 Sn 0.0000 0.0000 0.5000
N1 N 0.0747 0.2500 0.9459
```

Values from the calculation:
Fermi-level density of states (states/eV/f.u.): 1.2
Formation energy from raw total energies (eV per atom): -0.53

=====

(2)
Fe3Co2: optimized geometry, GGA-PBE.

CIF file:
```
data_Fe3Co2
_space_group_name_H-M_alt 'C 1 2/m 1'
_space_group_IT_number 12
_cell_length_a 11.7038
_cell_length_b 4.0042
_cell_length_c 2.4726
_cell_angle_alpha 90.00
_cell_angle_beta 97.40
_cell_angle_gamma 90.00
loop_
_space_group_symop_operation_xyz
'x,y,z'
'-x,-y,-z'
'-x,y,-z'
'x,-y,z'
'x+1/2,y+1/2,z'
'-x+1/2,-y+1/2,-z'
'-x+1/2,y+1/2,-z'
'x+1/2,-y+1/2,z'
loop_
_atom_site_label
_atom_site_type_symbol
_atom_site_fract_x
_atom_site_fract_y
_atom_site_fract_z
Fe1 Fe 0.0000 0.0000 0.0000
Fe2 Fe 0.1015 0.5000 0.4002
Co1 Co 0.1992 0.0000 0.7924
```

Values from the calculation:
Fermi-level density of states (states/eV/f.u.): 3.4
Distance to the lowest polymorph of the same formula (meV/atom): 34
Energy relative to the elements (meV per atom): -15.1

=====

(3)
MnNb2Tc: optimized geometry, GGA-PBE.

CIF file:
```
data_MnNb2Tc
_space_group_name_H-M_alt 'I m m m'
_space_group_IT_number 71
_space_group_name_Hall '-I 2 2'
_cell_length_a 2.9651
_cell_length_b 4.5639
_cell_length_c 10.0984
_cell_angle_alpha 90.00
_cell_angle_beta 90.00
_cell_angle_gamma 90.00
loop_
_atom_site_label
_atom_site_type_symbol
_atom_site_fract_x
_atom_site_fract_y
_atom_site_fract_z
Mn1 Mn 0.0000 0.0000 0.0000
Nb1 Nb 0.0000 0.0000 0.2496
Tc1 Tc 0.0000 0.0000 0.5000
```

Values from the calculation:
Fermi-level density of states (states/eV/f.u.): 4.5
Distance to the lowest polymorph of the same formula (meV/atom): 880
Energy relative to the elements (meV per atom): 664.8

=====

(4)
NpMn2Co: optimized geometry, GGA-PBE.

CIF file:
```
data_NpMn2Co
_space_group_name_H-M_alt 'P 4/m m m'
_space_group_IT_number 123
_space_group_name_Hall '-P 4 2'
_cell_length_a 3.8484
_cell_length_b 3.8484
_cell_length_c 3.8526
_cell_angle_alpha 90.00
_cell_angle_beta 90.00
_cell_angle_gamma 90.00
loop_
_atom_site_label
_atom_site_type_symbol
_atom_site_fract_x
_atom_site_fract_y
_atom_site_fract_z
Np1 Np 0.0000 0.0000 0.0000
Mn1 Mn 0.0000 0.5000 0.5000
Co1 Co 0.5000 0.5000 0.0000
```

Values from the calculation:
Fermi-level density of states (states/eV/f.u.): 5.0
Distance to the lowest polymorph of the same formula (meV/atom): 0
Energy relative to the elements (meV per atom): 56.3

=====

(5)
InCu2As: optimized geometry, GGA-PBE.

CIF file:
```
data_InCu2As
_space_group_name_H-M_alt 'R 3 m'
_space_group_IT_number 160
_space_group_name_Hall 'R 3 -2"'
_cell_length_a 3.2061
_cell_length_b 3.2061
_cell_length_c 23.6904
_cell_angle_alpha 90.00
_cell_angle_beta 90.00
_cell_angle_gamma 120.00
loop_
_atom_site_label
_atom_site_type_symbol
_atom_site_fract_x
_atom_site_fract_y
_atom_site_fract_z
In1 In 0.0000 0.0000 0.0000
Cu1 Cu 0.0000 0.0000 0.4908
Cu2 Cu 0.0000 0.0000 0.7517
As1 As 0.0000 0.0000 0.2271
```

Values from the calculation:
Fermi-level density of states (states/eV/f.u.): 0.9
Energy relative to the elements (meV per atom): 212.1

=====

(6)
HoMg3Ni8: optimized geometry, GGA-PBE.

CIF file:
```
data_HoMg3Ni8
_space_group_name_H-M_alt 'R 3 m'
_space_group_IT_number 160
_space_group_name_Hall 'R 3 -2"'
_cell_length_a 4.8866
_cell_length_b 4.8866
_cell_length_c 23.9076
_cell_angle_alpha 90.00
_cell_angle_beta 90.00
_cell_angle_gamma 120.00
loop_
_atom_site_label
_atom_site_type_symbol
_atom_site_fract_x
_atom_site_fract_y
_atom_site_fract_z
Ho1 Ho 0.0000 0.0000 0.0000
Mg1 Mg 0.0000 0.0000 0.1280
Mg2 Mg 0.0000 0.0000 0.4975
Mg3 Mg 0.0000 0.0000 0.6182
Ni1 Ni 0.0000 0.0000 0.3112
Ni2 Ni 0.0000 0.0000 0.8118
Ni3 Ni 0.0001 0.5001 0.0629
Ni4 Ni 0.1677 0.3353 0.8940
```

Values from the calculation:
Fermi-level density of states (states/eV/f.u.): 16.3
Energy relative to the elements (meV per atom): -302.7

=====

(7)
Re2SiP: optimized geometry, GGA-PBE.

CIF file:
```
data_Re2SiP
_space_group_name_H-M_alt 'F m -3 m'
_space_group_IT_number 225
_space_group_name_Hall '-F 4 2 3'
_cell_length_a 5.9516
_cell_length_b 5.9516
_cell_length_c 5.9516
_cell_angle_alpha 90.00
_cell_angle_beta 90.00
_cell_angle_gamma 90.00
loop_
_atom_site_label
_atom_site_type_symbol
_atom_site_fract_x
_atom_site_fract_y
_atom_site_fract_z
Re1 Re 0.2500 0.2500 0.2500
Si1 Si 0.0000 0.0000 0.0000
P1 P 0.0000 0.0000 0.5000
```

Values from the calculation:
Fermi-level density of states (states/eV/f.u.): 1.5
Distance to the lowest polymorph of the same formula (meV/atom): 86
Formation energy from raw total energies (eV per atom): -0.13

=====

(8)
LiPu5Se6: optimized geometry, GGA-PBE.

CIF file:
```
data_LiPu5Se6
_space_group_name_H-M_alt 'C 1 2/m 1'
_space_group_IT_number 12
_cell_length_a 7.1781
_cell_length_b 12.4251
_cell_length_c 7.1828
_cell_angle_alpha 90.00
_cell_angle_beta 109.45
_cell_angle_gamma 90.00
loop_
_space_group_symop_operation_xyz
'x,y,z'
'-x,-y,-z'
'-x,y,-z'
'x,-y,z'
'x+1/2,y+1/2,z'
'-x+1/2,-y+1/2,-z'
'-x+1/2,y+1/2,-z'
'x+1/2,-y+1/2,z'
loop_
_atom_site_label
_atom_site_type_symbol
_atom_site_fract_x
_atom_site_fract_y
_atom_site_fract_z
Li1 Li 0.0000 0.0000 0.0000
Pu1 Pu 0.0000 0.1668 0.5000
Pu2 Pu 0.0000 0.3334 0.0000
Pu3 Pu 0.0000 0.5000 0.5000
Se1 Se 0.2482 0.0000 0.7513
Se2 Se 0.2479 0.1654 0.2477
```

Values from the calculation:
Fermi-level density of states (states/eV/f.u.): 43.5
Formation energy from raw total energies (eV per atom): -1.50

=====

(9)
TbPm3DyTm: optimized geometry, GGA-PBE.

CIF file:
```
data_TbPm3DyTm
_space_group_name_H-M_alt 'P 1 21/m 1'
_space_group_IT_number 11
_cell_length_a 8.0213
_cell_length_b 5.0886
_cell_length_c 10.1466
_cell_angle_alpha 90.00
_cell_angle_beta 108.53
_cell_angle_gamma 90.00
loop_
_space_group_symop_operation_xyz
'x,y,z'
'-x,-y,-z'
'-x,y+1/2,-z'
'x,-y+1/2,z'
loop_
_atom_site_label
_atom_site_type_symbol
_atom_site_fract_x
_atom_site_fract_y
_atom_site_fract_z
Tb1 Tb 0.1706 0.2500 0.2932
Pm1 Pm 0.1682 0.7500 0.0427
Pm2 Pm 0.1690 0.2500 0.7916
Pm3 Pm 0.1691 0.7500 0.5415
Dy1 Dy 0.4986 0.2500 0.1261
Tm1 Tm 0.5004 0.2500 0.6235
```

Values from the calculation:
Fermi-level density of states (states/eV/f.u.): 8.4
Energy relative to the elements (meV per atom): 20.9

=====

(10)
CeZn4: optimized geometry, GGA-PBE.

CIF file:
```
data_CeZn4
_space_group_name_H-M_alt 'I -4 3 m'
_space_group_IT_number 217
_space_group_name_Hall 'I -4 2 3'
_cell_length_a 9.1302
_cell_length_b 9.1302
_cell_length_c 9.1302
_cell_angle_alpha 90.00
_cell_angle_beta 90.00
_cell_angle_gamma 90.00
loop_
_atom_site_label
_atom_site_type_symbol
_atom_site_fract_x
_atom_site_fract_y
_atom_site_fract_z
Ce1 Ce 0.2176 0.2176 0.7824
Zn1 Zn 0.0000 0.0000 0.3523
Zn2 Zn 0.0000 0.2500 0.5000
Zn3 Zn 0.1019 0.1019 0.1019
```

Values from the calculation:
Fermi-level density of states (states/eV/f.u.): 7.8
Energy relative to the elements (meV per atom): -149.1

=====

(11)
DyErHg: optimized geometry, GGA-PBE.

CIF file:
```
data_DyErHg
_space_group_name_H-M_alt 'F -4 3 m'
_space_group_IT_number 216
_space_group_name_Hall 'F -4 2 3'
_cell_length_a 7.1744
_cell_length_b 7.1744
_cell_length_c 7.1744
_cell_angle_alpha 90.00
_cell_angle_beta 90.00
_cell_angle_gamma 90.00
loop_
_atom_site_label
_atom_site_type_symbol
_atom_site_fract_x
_atom_site_fract_y
_atom_site_fract_z
Dy1 Dy 0.0000 0.0000 0.0000
Er1 Er 0.0000 0.0000 0.5000
Hg1 Hg 0.2500 0.2500 0.2500
```

Values from the calculation:
Fermi-level density of states (states/eV/f.u.): 3.2
Distance to the lowest polymorph of the same formula (meV/atom): 250
Energy relative to the elements (meV per atom): -114.7

=====

(12)
Cu3PdPt4: optimized geometry, GGA-PBE.

CIF file:
```
data_Cu3PdPt4
_space_group_name_H-M_alt 'C 1 2/m 1'
_space_group_IT_number 12
_cell_length_a 14.4575
_cell_length_b 2.6797
_cell_length_c 6.8641
_cell_angle_alpha 90.00
_cell_angle_beta 104.21
_cell_angle_gamma 90.00
loop_
_space_group_symop_operation_xyz
'x,y,z'
'-x,-y,-z'
'-x,y,-z'
'x,-y,z'
'x+1/2,y+1/2,z'
'-x+1/2,-y+1/2,-z'
'-x+1/2,y+1/2,-z'
'x+1/2,-y+1/2,z'
loop_
_atom_site_label
_atom_site_type_symbol
_atom_site_fract_x
_atom_site_fract_y
_atom_site_fract_z
Cu1 Cu 0.0000 0.0000 0.0000
Cu2 Cu 0.1698 0.0000 0.9861
Pd1 Pd 0.0000 0.5000 0.5000
Pt1 Pt 0.1232 0.0000 0.3261
Pt2 Pt 0.1922 0.5000 0.6801
```

Values from the calculation:
Fermi-level density of states (states/eV/f.u.): 7.9
Distance to the lowest polymorph of the same formula (meV/atom): 220
Energy relative to the elements (meV per atom): 195.0